Entry 1:
Below is a relaxed Cd2FeNi crystal, with properties calculated at the GGA-PBE level.

Output
**Fermi-level density of states**: 6.8 states/eV/f.u.
**Offset from the most stable computed form**: 0.1723 eV/atom
**SG**: Fm-3m, No. 225
**Energy of formation from the pure elements**: 1.18 eV per formula unit
**Final energy**: -3.724 eV/atom

Cell: 4.479 4.479 4.479 Å, 60.00 60.00 60.00°
Last column: magnetic moment on the atom in μB.
Fractional positions:
Cd1 0.250 0.250 0.250  -0.03
Fe1 0.000 0.000 0.000  2.73
Ni1 0.500 0.500 0.500  0.09
Cd2 0.750 0.750 0.750  -0.03

=====

Entry 2:
Below is a relaxed CdFeNi2 crystal, with properties calculated at the GGA-PBE level.

Output
**Fermi-level density of states**: 4.8 states/eV/f.u.
**SG**: P4/mmm, No. 123
**Energy of formation from the pure elements**: 0.77 eV per formula unit
**Final energy**: -5.043 eV/atom

Cell: 3.923 3.924 3.508 Å, 90.00 90.00 90.00°
Last column: magnetic moment on the atom in μB.
Fractional positions:
Cd1 0.500 0.000 0.500  -0.03
Fe1 0.000 0.500 0.500  2.91
Ni1 0.500 0.500 0.000  0.56
Ni2 0.000 0.000 0.000  0.56

=====

Entry 3:
Below is a relaxed Cd4FeNi crystal, with properties calculated at the GGA-PBE level.

Output
**Fermi-level density of states**: 7.9 states/eV/f.u.
**SG**: F-43m, No. 216
**Energy of formation from the pure elements**: 3.64 eV per formula unit
**Final energy**: -2.377 eV/atom

Cell: 5.505 5.505 5.505 Å, 60.00 60.00 60.00°
Last column: magnetic moment on the atom in μB.
Fractional positions:
Fe1 0.750 0.750 0.750  3.01
Ni1 0.000 0.000 0.000  0.39
Cd1 0.875 0.375 0.375  -0.02
Cd2 0.375 0.375 0.375  -0.02
Cd3 0.375 0.375 0.875  -0.02
Cd4 0.375 0.875 0.375  -0.02

=====

Entry 4:
Below is a relaxed CdFeNiPd2 crystal, with properties calculated at the GGA-PBE level.

Output
**Fermi-level density of states**: 7.7 states/eV/f.u.
**SG**: P4/mmm, No. 123
**Energy of formation from the pure elements**: 7.55 eV per formula unit
**Final energy**: -3.600 eV/atom

Cell: 4.900 4.702 4.900 Å, 90.00 90.00 90.00°
Last column: magnetic moment on the atom in μB.
Fractional positions:
Pd1 0.500 0.000 0.000  0.01
Ni1 0.500 0.500 0.500  0.94
Cd1 0.000 0.000 0.000  -0.02
Fe1 0.000 0.500 0.000  3.12
Pd2 0.000 0.000 0.500  0.06

=====

Entry 5:
Below is a relaxed CdFeNiRh crystal, with properties calculated at the GGA-PBE level.

Output
**Fermi-level density of states**: 3.1 states/eV/f.u.
**SG**: F-43m, No. 216
**Energy of formation from the pure elements**: 0.30 eV per formula unit
**Final energy**: -5.552 eV/atom

Cell: 4.344 4.344 4.344 Å, 60.00 60.00 60.00°
Last column: magnetic moment on the atom in μB.
Fractional positions:
Rh1 0.000 0.000 0.000  0.54
Fe1 0.250 0.250 0.250  3.16
Ni1 0.500 0.500 0.500  0.58
Cd1 0.750 0.750 0.750  -0.02

=====

Entry 6:
Below is a relaxed CdFeNiRh2 crystal, with properties calculated at the GGA-PBE level.

Output
**Fermi-level density of states**: 7.5 states/eV/f.u.
**SG**: P4/mmm, No. 123
**Energy of formation from the pure elements**: 9.44 eV per formula unit
**Final energy**: -4.085 eV/atom

Cell: 4.852 4.675 4.852 Å, 90.00 90.00 90.00°
Last column: magnetic moment on the atom in μB.
Fractional positions:
Rh1 0.500 0.000 0.000  0.71
Cd1 0.000 0.000 0.000  -0.01
Rh2 0.000 0.000 0.500  0.81
Ni1 0.500 0.500 0.500  1.05
Fe1 0.000 0.500 0.000  3.19

=====

Entry 7:
Below is a relaxed CdFeNiSb2 crystal, with properties calculated at the GGA-PBE level.

Output
**Formation energy (no corrections)**: 0.644 eV/atom
**Fermi-level density of states**: 4.2 states/eV/f.u.
**SG**: P4/mmm, No. 123
**Final energy**: -4.036 eV/atom

Cell: 4.760 4.978 4.760 Å, 90.00 90.00 90.00°
Fractional positions:
Ni1 0.500 0.500 0.500
Sb1 0.500 0.000 0.000
Cd1 0.000 0.500 0.000
Sb2 0.000 0.000 0.500
Fe1 0.000 0.000 0.000

=====

Entry 8:
Below is a relaxed CdFe2NiW crystal, with properties calculated at the GGA-PBE level.

Output
**Fermi-level density of states**: 6.2 states/eV/f.u.
**SG**: P4/mmm, No. 123
**Energy of formation from the pure elements**: 8.79 eV per formula unit
**Final energy**: -5.557 eV/atom

Cell: 4.433 5.236 4.433 Å, 90.00 90.00 90.00°
Last column: magnetic moment on the atom in μB.
Fractional positions:
Fe1 0.000 0.000 0.500  1.88
Cd1 0.000 0.500 0.000  0.02
W1 0.000 0.000 0.000  -0.24
Fe2 0.500 0.000 0.000  1.71
Ni1 0.500 0.500 0.500  0.55

=====

Entry 9:
Below is a relaxed Zr2CdFeNi crystal, with properties calculated at the GGA-PBE level.

Output
**Fermi-level density of states**: 6.8 states/eV/f.u.
**SG**: P4/mmm, No. 123
**Energy of formation from the pure elements**: 2.30 eV per formula unit
**Final energy**: -5.991 eV/atom

Cell: 4.836 4.316 4.836 Å, 90.00 90.00 90.00°
Last column: magnetic moment on the atom in μB.
Fractional positions:
Fe1 0.000 0.500 0.000  -0.09
Ni1 0.000 0.000 0.000  0.18
Zr1 0.000 0.000 0.500  -0.01
Cd1 0.500 0.500 0.500  0.01
Zr2 0.500 0.000 0.000  0.00